Entry i
Here is an optimized crystal structure of Ac2BN3 from the Alexandria database. Energies are from GGA-PBE.

Unit cell a=5.836 b=5.836 c=7.065 alpha=92.16 beta=115.89 gamma=115.21
Sites, in units of the cell vectors:
Ac: 0.663 0.025 0.316
Ac: 0.208 0.346 0.184
N: 0.897 0.147 0.750
B: 0.144 0.394 0.750
N: 0.769 0.627 0.417
N: 0.710 0.352 0.083
N: 0.103 0.853 0.250
Ac: 0.337 0.975 0.684
Ac: 0.792 0.654 0.816
N: 0.231 0.373 0.583
B: 0.856 0.606 0.250
N: 0.290 0.648 0.917

Summary:
The value obtained for the density is 8.9 g/cm3. As for the total magnetization: 0.000 μB/cell. For the calculated volume, the calculation gives 188.3 Å³/cell.

***

Entry ii
Here is an optimized crystal structure of Ac2BN3 from the Alexandria database. Energies are from GGA-PBE.

Unit cell a=3.632 b=4.779 c=6.470 alpha=111.67 beta=106.30 gamma=90.00
Sites, in units of the cell vectors:
N: 0.124 0.124 0.247
N: 0.876 0.876 0.753
Ac: 0.645 0.645 0.290
B: 0.000 0.000 0.000
N: 0.000 0.500 0.000
Ac: 0.355 0.355 0.710

Summary:
The value obtained for the density is 8.5 g/cm3. As for the total magnetization: 0.000 μB/cell. For the density of states at the Fermi level, the calculation gives 1.0 states/eV per cell. For the calculated volume, the calculation gives 99.5 Å³/cell.

***

Stability, highest: entry i

***

Entry i
Here is an optimized crystal structure of AcNiB from the Alexandria database. Energies are from GGA-PBE.

Unit cell a=4.382 b=3.785 c=3.785 alpha=120.00 beta=90.00 gamma=90.00
Sites, in units of the cell vectors:
B: 0.166 0.000 0.000
Ac: 0.667 0.667 0.333
Ni: 0.167 0.333 0.667

Summary:
The value obtained for the density is 9.1 g/cm3. As for the total magnetization: 0.000 μB/cell. For the density of states at the Fermi level, the calculation gives 2.5 states/eV per cell. For the calculated volume, the calculation gives 54.3 Å³/cell.

***

Entry ii
Here is an optimized crystal structure of AcNiB from the Alexandria database. Energies are from GGA-PBE.

Unit cell a=3.872 b=6.718 c=9.059 alpha=90.00 beta=90.00 gamma=90.00
Sites, in units of the cell vectors:
Ac: 0.748 0.237 0.314
B: 0.756 0.433 0.014
Ac: 0.248 0.263 0.686
Ni: 0.744 0.866 0.501
Ni: 0.756 0.134 0.001
Ni: 0.256 0.366 0.999
B: 0.244 0.933 0.486
Ac: 0.752 0.763 0.814
Ac: 0.252 0.737 0.186
Ni: 0.244 0.634 0.499
B: 0.256 0.067 0.986
B: 0.744 0.567 0.514

Summary:
The value obtained for the density is 8.4 g/cm3. As for the total magnetization: 0.000 μB/cell. For the density of states at the Fermi level, the calculation gives 7.4 states/eV per cell. For the calculated volume, the calculation gives 235.6 Å³/cell.

***

Stability, highest: entry ii

***

Entry i
Here is an optimized crystal structure of AcNi3B from the Alexandria database. Energies are from GGA-PBE.

Unit cell a=4.196 b=4.196 c=4.196 alpha=90.00 beta=90.00 gamma=90.00
Site moments in Bohr magnetons follow the coordinates.
Sites, in units of the cell vectors:
Ac: 0.500 0.500 0.500  0.01
B: 0.000 0.000 0.000  0.03
Ni: 0.500 0.000 0.000  0.20
Ni: 0.000 0.000 0.500  0.20
Ni: 0.000 0.500 0.000  0.20

Summary:
The value obtained for the density is 9.3 g/cm3. As for the total magnetization: 0.693 μB/cell. For the density of states at the Fermi level, the calculation gives 6.5 states/eV per cell. For the calculated volume, the calculation gives 73.9 Å³/cell.

***

Entry ii
Here is an optimized crystal structure of AcNi3B from the Alexandria database. Energies are from GGA-PBE.

Unit cell a=5.101 b=5.934 c=5.934 alpha=120.04 beta=90.00 gamma=90.00
Sites, in units of the cell vectors:
Ni: 0.250 0.306 0.153
Ni: 0.250 0.847 0.153
Ac: 0.750 0.667 0.333
B: 0.000 0.000 0.000
Ac: 0.250 0.333 0.667
Ni: 0.250 0.847 0.694
Ni: 0.750 0.153 0.847
Ni: 0.750 0.153 0.306
Ni: 0.750 0.694 0.847
B: 0.500 0.000 0.000

Summary:
The value obtained for the density is 8.8 g/cm3. As for the total magnetization: 0.000 μB/cell. For the density of states at the Fermi level, the calculation gives 6.5 states/eV per cell. For the calculated volume, the calculation gives 155.5 Å³/cell.

***

Entry iii
Here is an optimized crystal structure of AcNi3B from the Alexandria database. Energies are from GGA-PBE.

Unit cell a=6.491 b=6.491 c=8.665 alpha=90.00 beta=90.00 gamma=120.00
Sites, in units of the cell vectors:
Ni: 0.000 0.500 0.500
Ac: 0.000 0.000 0.500
B: 0.667 0.333 0.090
B: 0.333 0.667 0.590
Ac: 0.000 0.000 0.000
Ni: 0.796 0.592 0.250
Ni: 0.592 0.796 0.750
Ni: 0.500 0.500 0.000
Ni: 0.796 0.204 0.250
Ac: 0.667 0.333 0.750
Ni: 0.500 0.000 0.500
B: 0.667 0.333 0.410
B: 0.333 0.667 0.910
Ni: 0.204 0.796 0.750
Ni: 0.000 0.500 0.000
Ac: 0.333 0.667 0.250
Ni: 0.500 0.500 0.500
Ni: 0.500 0.000 0.000
Ni: 0.204 0.408 0.750
Ni: 0.408 0.204 0.250

Summary:
The value obtained for the density is 8.7 g/cm3. As for the total magnetization: 0.000 μB/cell. For the density of states at the Fermi level, the calculation gives 9.9 states/eV per cell. For the calculated volume, the calculation gives 316.2 Å³/cell.

***

Stability, highest: entry iii

***

Entry i
Here is an optimized crystal structure of AcB2Os from the Alexandria database. Energies are from GGA-PBE.

Unit cell a=4.128 b=7.400 c=8.614 alpha=90.00 beta=90.00 gamma=90.00
Sites, in units of the cell vectors:
Os: 0.750 0.373 0.961
B: 0.750 0.256 0.760
B: 0.750 0.168 0.575
Ac: 0.750 0.500 0.327
Os: 0.250 0.627 0.039
Ac: 0.250 0.500 0.673
B: 0.250 0.244 0.260
B: 0.750 0.668 0.925
Os: 0.250 0.127 0.461
Ac: 0.250 0.000 0.827
B: 0.250 0.832 0.425
B: 0.250 0.332 0.075
B: 0.750 0.756 0.740
Os: 0.750 0.873 0.539
B: 0.250 0.744 0.240
Ac: 0.750 0.000 0.173

Summary:
The value obtained for the density is 11.1 g/cm3. As for the total magnetization: 0.000 μB/cell. For the density of states at the Fermi level, the calculation gives 7.9 states/eV per cell. For the calculated volume, the calculation gives 263.1 Å³/cell.

***

Entry ii
Here is an optimized crystal structure of AcB2Os from the Alexandria database. Energies are from GGA-PBE.

Unit cell a=3.570 b=6.338 c=6.849 alpha=125.38 beta=90.00 gamma=90.00
Sites, in units of the cell vectors:
Ac: 0.250 0.254 0.761
Ac: 0.750 0.746 0.239
B: 0.750 0.274 0.446
Os: 0.750 0.699 0.704
B: 0.750 0.080 0.054
Os: 0.250 0.301 0.296
B: 0.250 0.726 0.554
B: 0.250 0.920 0.946

Summary:
The value obtained for the density is 11.5 g/cm3. As for the total magnetization: 0.000 μB/cell. For the density of states at the Fermi level, the calculation gives 4.4 states/eV per cell. For the calculated volume, the calculation gives 126.4 Å³/cell.

***

Stability, highest: entry i

***

Entry i
Here is an optimized crystal structure of AcB2Os from the Alexandria database. Energies are from GGA-PBE.

Unit cell a=3.126 b=3.126 c=6.079 alpha=90.00 beta=90.00 gamma=90.00
Sites, in units of the cell vectors:
Ac: 0.500 0.500 0.500
B: 0.000 0.000 0.147
B: 0.000 0.000 0.853
Os: 0.500 0.500 0.000

Summary:
The value obtained for the density is 12.3 g/cm3. As for the total magnetization: 0.007 μB/cell. For the density of states at the Fermi level, the calculation gives 3.3 states/eV per cell. For the calculated volume, the calculation gives 59.4 Å³/cell.

***

Entry ii
Here is an optimized crystal structure of AcB2Os from the Alexandria database. Energies are from GGA-PBE.

Unit cell a=3.766 b=3.766 c=5.651 alpha=70.53 beta=70.53 gamma=60.00
Sites, in units of the cell vectors:
B: 0.195 0.195 0.416
Ac: 0.000 0.000 0.000
B: 0.805 0.805 0.584
Os: 0.500 0.500 0.500

Summary:
The value obtained for the density is 11.4 g/cm3. As for the total magnetization: 0.000 μB/cell. For the density of states at the Fermi level, the calculation gives 1.9 states/eV per cell. For the calculated volume, the calculation gives 64.1 Å³/cell.

***

Stability, highest: entry ii